Compound: NpHg2F4
Source: the Alexandria database
Functional: PBE-GGA
Structure: relaxed

Geometry as extended XYZ:
```
7
Lattice="3.852 0.000 0.000 0.000 3.802 -0.713 0.000 0.205 11.593" Properties=species:S:1:pos:R:3 pbc="T T T"
F 1.926 2.130 0.864
F 0.000 0.228 1.215
F 0.000 3.780 9.665
F 1.926 1.878 10.016
Hg 1.926 3.212 6.635
Hg 1.926 0.796 4.245
Np 0.000 1.901 -0.356
```

Summary:
Formation energy from raw total energies   -2.414 eV/atom
DFT total energy   -37.9 eV per cell
Size of the total moment   0.446 μB/atom
Crystal system   orthorhombic